A relaxed Hf3WF crystal, computed with PBE with a Hubbard U.

Values from the calculation:
Total DFT energy (no corrections)   -33.73 eV for the cell shown
Distance to the lowest polymorph of the same formula   1.1906 eV/atom

a = 5.154 Å, b = 5.154 Å, c = 5.154 Å
α = 90.00°, β = 90.00°, γ = 90.00°
Positions (direct):
Hf 0.000 0.000 0.500
Hf 0.000 0.500 0.000
Hf 0.500 0.000 0.000
W 0.000 0.000 0.000
F 0.500 0.500 0.500